A plane-wave DFT calculation with PBE-GGA was carried out for a relaxed La2Pr3Y2 crystal.

Unit cell a=3.697 b=11.062 c=6.335 alpha=95.55 beta=73.08 gamma=89.97
Sites, in units of the cell vectors:
La: 0.716 0.144 0.569
La: 0.284 0.856 0.431
Pr: 0.000 0.000 0.000
Pr: 0.857 0.570 0.284
Pr: 0.143 0.430 0.716
Y: 0.429 0.288 0.141
Y: 0.571 0.712 0.859

Properties
- ΔE_f (meV per atom) = 10
- excess energy over the best structure of this formula in the dataset (kJ per mole of atoms) = 0.00
- symmetry = P-1
- DOS at the Fermi energy (states/eV/atom) = 1.450
- calculated volume (Å³/atom) = 35.228

---

A plane-wave DFT calculation with PBE-GGA was carried out for a relaxed La4Pr7Y crystal.

Unit cell a=7.410 b=6.434 c=11.178 alpha=73.03 beta=59.95 gamma=89.96
Sites, in units of the cell vectors:
La: 0.503 0.668 0.332
La: 0.497 0.332 0.668
La: 0.748 0.833 0.668
La: 0.252 0.167 0.332
Pr: 0.752 0.499 0.000
Pr: 0.248 0.501 0.000
Pr: 0.999 0.333 0.668
Pr: 0.001 0.667 0.332
Pr: 0.249 0.834 0.668
Pr: 0.500 0.000 0.000
Pr: 0.751 0.166 0.332
Y: 0.000 0.000 0.000

Properties
- ΔE_f (meV per atom) = 11
- excess energy over the best structure of this formula in the dataset (kJ per mole of atoms) = 0.00
- symmetry = P-1
- DOS at the Fermi energy (states/eV/atom) = 1.706
- calculated volume (Å³/atom) = 36.192

---

A plane-wave DFT calculation with PBE-GGA was carried out for a relaxed La5Pr2Y4 crystal.

Unit cell a=3.674 b=9.002 c=12.225 alpha=104.39 beta=98.64 gamma=90.00
Sites, in units of the cell vectors:
La: 0.136 0.094 0.272
La: 0.864 0.906 0.728
La: 0.228 0.814 0.456
La: 0.500 0.000 0.000
La: 0.772 0.186 0.544
Pr: 0.590 0.723 0.180
Pr: 0.410 0.277 0.820
Y: 0.681 0.455 0.363
Y: 0.046 0.367 0.092
Y: 0.319 0.545 0.637
Y: 0.954 0.633 0.908

Properties
- ΔE_f (meV per atom) = 21
- symmetry = C2/m
- DOS at the Fermi energy (states/eV/atom) = 1.862
- calculated volume (Å³/atom) = 35.171

---

A plane-wave DFT calculation with PBE-GGA was carried out for a relaxed La4Pr7Y crystal.

Unit cell a=6.210 b=12.117 c=6.910 alpha=83.87 beta=63.30 gamma=75.15
Sites, in units of the cell vectors:
La: 0.642 0.222 0.495
La: 0.358 0.778 0.505
La: 0.771 0.671 0.788
La: 0.229 0.329 0.212
Pr: 0.786 0.922 0.505
Pr: 0.214 0.078 0.495
Pr: 0.066 0.685 0.183
Pr: 0.934 0.315 0.817
Pr: 0.368 0.498 0.766
Pr: 0.500 0.000 0.000
Pr: 0.632 0.502 0.234
Y: 0.000 0.000 0.000

Properties
- ΔE_f (meV per atom) = 220
- excess energy over the best structure of this formula in the dataset (kJ per mole of atoms) = 20.13
- symmetry = C2/m
- DOS at the Fermi energy (states/eV/atom) = 1.781
- calculated volume (Å³/atom) = 37.418